Record 1
This record from Alexandria via LeMat-Bulk describes HOs2Pd after structural relaxation. The functional is PBE-GGA.

a = 5.021 Å, b = 5.021 Å, c = 5.021 Å
α = 105.21°, β = 105.21°, γ = 118.37°
Positions (direct):
H1 0.000 0.000 0.000
H2 0.750 0.250 0.500
Os1 0.025 0.625 0.900
Os2 0.375 0.275 0.400
Os3 0.725 0.125 0.100
Os4 0.875 0.975 0.600
Pd1 0.250 0.750 0.500
Pd2 0.500 0.500 0.000

Computed properties:
SG = No. 122
M_tot = 0.00 μB/cell
polymorph energy (0 for the lowest one) = 0 meV/atom

Record 2
This record from Alexandria via LeMat-Bulk describes UCoS3 after structural relaxation. The functional is PBE-GGA.

a = 7.440 Å, b = 3.647 Å, c = 12.275 Å
α = 90.00°, β = 90.00°, γ = 90.00°
Positions (direct):
U1 0.118 0.250 0.174
U2 0.382 0.750 0.674
U3 0.618 0.250 0.326
U4 0.882 0.750 0.826
Co1 0.170 0.750 0.449
Co2 0.330 0.250 0.949
Co3 0.670 0.750 0.051
Co4 0.830 0.250 0.551
S1 0.003 0.750 0.605
S2 0.156 0.750 0.004
S3 0.169 0.250 0.791
S4 0.331 0.750 0.291
S5 0.344 0.250 0.504
S6 0.497 0.250 0.105
S7 0.503 0.750 0.895
S8 0.656 0.750 0.496
S9 0.669 0.250 0.709
S10 0.831 0.750 0.209
S11 0.844 0.250 0.996
S12 0.997 0.250 0.395

Computed properties:
formation energy from raw total energies = -925 meV/atom
SG = No. 62
M_tot = 11.99 μB/cell
polymorph energy (0 for the lowest one) = 51 meV/atom

Record 3
This record from Alexandria via LeMat-Bulk describes Li2Hf2P after structural relaxation. The functional is PBE-GGA.

a = 6.102 Å, b = 6.102 Å, c = 4.276 Å
α = 90.00°, β = 90.00°, γ = 90.00°
Positions (direct):
Li1 0.138 0.362 0.000
Li2 0.362 0.862 0.000
Li3 0.638 0.138 0.000
Li4 0.862 0.638 0.000
Hf1 0.170 0.670 0.500
Hf2 0.330 0.170 0.500
Hf3 0.670 0.830 0.500
Hf4 0.830 0.330 0.500
P1 0.000 0.000 0.000
P2 0.500 0.500 0.000

Computed properties:
SG = No. 127
M_tot = 0.00 μB/cell
formation energy from the elements = -77 meV/atom
polymorph energy (0 for the lowest one) = 0 meV/atom

Record 4
This record from Alexandria via LeMat-Bulk describes La6ScCd after structural relaxation. The functional is PBE-GGA.

a = 5.086 Å, b = 5.086 Å, c = 10.255 Å
α = 90.00°, β = 90.00°, γ = 90.00°
Positions (direct):
La1 0.000 0.000 0.000
La2 0.000 0.000 0.500
La3 0.000 0.500 0.249
La4 0.000 0.500 0.751
La5 0.500 0.000 0.249
La6 0.500 0.000 0.751
Sc1 0.500 0.500 0.000
Cd1 0.500 0.500 0.500

Computed properties:
SG = No. 123
M_tot = 0.00 μB/cell
formation energy from the elements = -45 meV/atom
polymorph energy (0 for the lowest one) = 0 meV/atom

Repeat the first record exactly.
This record from Alexandria via LeMat-Bulk describes HOs2Pd after structural relaxation. The functional is PBE-GGA.

a = 5.021 Å, b = 5.021 Å, c = 5.021 Å
α = 105.21°, β = 105.21°, γ = 118.37°
Positions (direct):
H1 0.000 0.000 0.000
H2 0.750 0.250 0.500
Os1 0.025 0.625 0.900
Os2 0.375 0.275 0.400
Os3 0.725 0.125 0.100
Os4 0.875 0.975 0.600
Pd1 0.250 0.750 0.500
Pd2 0.500 0.500 0.000

Computed properties:
SG = No. 122
M_tot = 0.00 μB/cell
polymorph energy (0 for the lowest one) = 0 meV/atom